Computed, not measured: a crystal of K2YBr relaxed with PBEsol at the meta-GGA SCAN level of DFT.

Structure (POSCAR):
```
K2YBr
1.0
3.8354 0.0000 0.0000
0.0000 4.1977 0.0000
-1.9177 -2.0988 10.7465
Br Y K
1 1 2
direct
0.0000 0.5000 0.0000 Br
0.5000 0.0000 0.0000 Y
0.6628 0.6628 0.3255 K
0.3372 0.3372 0.6745 K
```

Results
The formation energy without anion corrections comes out at -0.3077 eV per atom. As for the total energy: -16.298 eV/atom. The calculation puts the energy relative to the lowest polymorph listed for this composition at 17.0 kJ/mol of atoms.

***

Computed, not measured: a crystal of KYBr relaxed with PBEsol at the meta-GGA SCAN level of DFT.

Structure (POSCAR):
```
KYBr
1.0
-2.9235 0.1426 -4.6114
-5.4333 -0.5231 0.1937
-3.1972 4.2959 -1.0749
Y Br K
1 1 1
direct
0.2500 0.2500 0.2500 Y
0.0000 0.0000 0.0000 Br
0.5000 0.5000 0.5000 K
```

Results
The formation energy without anion corrections comes out at 0.2817 eV per atom. As for the total energy: -18.262 eV/atom.

***

Computed, not measured: a crystal of K2YBr relaxed with PBEsol at the meta-GGA SCAN level of DFT.

Structure (POSCAR):
```
K2YBr
1.0
3.8500 0.0000 0.0000
0.0000 6.0723 0.0000
0.0000 0.0000 6.4871
K Br Y
2 1 1
direct
0.0000 0.0000 0.0000 K
0.5000 0.5000 0.0000 K
0.0000 0.5000 0.5000 Br
0.5000 0.0000 0.5000 Y
```

Results
The formation energy without anion corrections comes out at -0.0553 eV per atom. As for the total energy: -16.045 eV/atom. The calculation puts the energy relative to the lowest polymorph listed for this composition at 41.3 kJ/mol of atoms.